La2Mg3AlCo2 GGA-PBE relaxed; crystal system = monoclinic; magnetization = 0.001 μB/atom; DFT total energy = -4.25 eV per atom
1.0
4.9829 -2.1350 0.0000
4.9829 2.1350 0.0000
-0.0268 0.0000 7.9576
La Mg Al Co
2 3 1 2
Cartesian
0.0000 0.0000 0.0000 La
1.0454 0.0000 4.1328 La
3.9817 0.0000 2.5400 Mg
7.1016 0.0000 6.4717 Mg
7.1263 0.0000 1.6579 Mg
3.9374 0.0000 5.6397 Al
2.7796 0.0000 7.9479 Co
8.5987 0.0000 4.2634 Co